No. 1
An optimized crystal structure of CsHgH. Source: the Alexandria database, functional PBE-GGA.

a b c (Å): 4.1802 6.8926 7.0328
angles (deg): 102.86 106.91 90.03
Last column: nearest neighbours and their distance in Å.
Positions (direct):
Cs1 0.0000 0.0000 0.0000  4 H 3.00-3.03
Cs2 0.1806 0.6045 0.3694  4 H 3.02-3.04
Hg1 0.4396 0.4431 0.8802  2 H 2.11-2.14
Hg2 0.7549 0.1615 0.5165  1 H 2.95
H1 0.5446 0.7216 0.0916  1 Hg 2.11
H2 0.5705 0.3192 0.1442  1 Hg 2.14

Computed properties:
Mass density = 5.892 g/cm³
Relative energy among the computed polymorphs = 33.9 meV per atom
Magnetic moment = 0.0 μB per formula unit

---

No. 2
An optimized crystal structure of Tb8In3. Source: the Alexandria database, functional PBE-GGA.

a b c (Å): 7.1764 7.1764 7.1764
angles (deg): 88.58 88.58 88.58
Last column: nearest neighbours and their distance in Å.
Positions (direct):
Tb1 0.1464 0.1464 0.1464  3 In 2.90
Tb2 0.1848 0.6228 0.3545  2 In 3.06-3.17
Tb3 0.3545 0.1848 0.6228  2 In 3.06-3.17
Tb4 0.3772 0.6455 0.8152  2 In 3.06-3.17
Tb5 0.6228 0.3545 0.1848  2 In 3.06-3.17
Tb6 0.6455 0.8152 0.3772  2 In 3.06-3.17
Tb7 0.8152 0.3772 0.6455  2 In 3.06-3.17
Tb8 0.8536 0.8536 0.8536  3 In 2.90
In1 0.0000 0.0000 0.5000  6 Tb 2.90-3.17
In2 0.0000 0.5000 0.0000  6 Tb 2.90-3.17
In3 0.5000 0.0000 0.0000  6 Tb 2.90-3.17

Computed properties:
Mass density = 7.267 g/cm³
Calculated formation energy = 0.078 eV per atom
Magnetic moment = 0.0 μB per formula unit

---

No. 3
An optimized crystal structure of Al2IrRu. Source: the Alexandria database, functional PBE-GGA.

a b c (Å): 4.9716 4.9716 4.9716
angles (deg): 136.93 136.93 62.54
Last column: nearest neighbours and their distance in Å.
Positions (direct):
Al1 0.0000 0.0000 0.0000  4 Ru 2.58, 4 Al 2.80, 4 Ir 2.80
Al2 0.7500 0.2500 0.5000  4 Ir 2.58, 4 Ru 2.80, 4 Al 2.80
Ir1 0.2500 0.7500 0.5000  8 Al 2.58-2.80, 4 Ru 2.80
Ru1 0.5000 0.5000 0.0000  8 Al 2.58-2.80, 4 Ir 2.80

Computed properties:
Mass density = 10.188 g/cm³
Calculated formation energy = -0.490 eV per atom
Magnetic moment = 0.0 μB per formula unit

---

No. 4
An optimized crystal structure of Tb4Pm5Tm2. Source: the Alexandria database, functional PBE-GGA.

a b c (Å): 6.6580 6.6580 9.2995
angles (deg): 104.23 104.23 66.69
Last column: nearest neighbours and their distance in Å.
Positions (direct):
Tb1 0.1665 0.1665 0.1182  3 Tm 3.44-3.67, 6 Pm 3.46-3.50, 2 Tb 3.48-3.71
Tb2 0.1967 0.1967 0.5016  5 Pm 3.38-3.63, 1 Tm 3.47, 1 Tb 3.48
Tb3 0.8033 0.8033 0.4984  5 Pm 3.38-3.63, 1 Tm 3.47, 1 Tb 3.48
Tb4 0.8335 0.8335 0.8818  3 Tm 3.44-3.67, 6 Pm 3.46-3.50, 2 Tb 3.48-3.71
Pm1 0.1538 0.7132 0.2304  2 Pm 3.15-3.23, 2 Tm 3.46-3.51, 3 Tb 3.46-3.50
Pm2 0.2868 0.8462 0.7696  2 Pm 3.15-3.23, 2 Tm 3.46-3.51, 3 Tb 3.46-3.50
Pm3 0.5000 0.5000 0.5000  4 Pm 3.15, 2 Tb 3.38
Pm4 0.7132 0.1538 0.2304  2 Pm 3.15-3.23, 2 Tm 3.46-3.51, 3 Tb 3.46-3.50
Pm5 0.8462 0.2868 0.7696  2 Pm 3.15-3.23, 2 Tm 3.46-3.51, 3 Tb 3.46-3.50
Tm1 0.3545 0.3545 0.8833  1 Tm 3.32, 4 Tb 3.44-3.67, 6 Pm 3.46-3.70
Tm2 0.6455 0.6455 0.1167  1 Tm 3.32, 4 Tb 3.44-3.67, 6 Pm 3.46-3.70

Computed properties:
Mass density = 7.795 g/cm³
Calculated formation energy = 0.121 eV per atom
Relative energy among the computed polymorphs = 45.7 meV per atom
Magnetic moment = 0.0 μB per formula unit